Compound: NbV3H6
Source: Alexandria via LeMat-Bulk
Functional: GGA-PBE
Structure: optimized geometry

It has space group C2/m (No. 12), with a = 9.312 Å, b = 4.049 Å, c = 4.418 Å, α = 90.00°, β = 117.01° and γ = 90.00°. Symmetry generates all atoms from Nb at (0.000, 0.000, 0.000), V at (0.000, 0.500, 0.500), V at (0.249, 0.000, 0.770), H at (0.129, 0.256, 0.393) and H at (0.246, 0.500, 0.827).

The energy comes out at -5.874 eV per atom.


Compound: NbVH2
Source: Alexandria via LeMat-Bulk
Functional: GGA-PBE
Structure: optimized geometry

It has space group I-42d (No. 122), with a = 4.717 Å, b = 4.717 Å, c = 6.671 Å, α = 90.00°, β = 90.00° and γ = 90.00°. Symmetry generates all atoms from Nb at (0.000, 0.000, 0.000), V at (0.000, 0.000, 0.500) and H at (0.223, 0.250, 0.625).

Its excess energy over the best structure of this formula in the dataset is 0.000 eV/atom.


Compound: Nb2V3H8
Source: Alexandria via LeMat-Bulk
Functional: GGA-PBE
Structure: optimized geometry

It has space group C2/m (No. 12), with a = 9.283 Å, b = 5.257 Å, c = 4.479 Å, α = 90.00°, β = 112.26° and γ = 90.00°. Symmetry generates all atoms from Nb at (0.180, 0.000, 0.151), V at (0.000, 0.241, 0.500), V at (0.000, 0.500, 0.000), H at (0.120, 0.500, 0.431), H at (0.140, 0.306, 0.908) and H at (0.147, 0.000, 0.565).

The energy comes out at -5.854 eV per atom.